# Hf5CoPt PBE relaxed
data_Hf5CoPt
_symmetry_space_group_name_H-M 'C 1 2/c 1'
_symmetry_Int_Tables_number 15
_symmetry_space_group_name_Hall '-C 2yc'
_cell_length_a 9.689
_cell_length_b 6.473
_cell_length_c 9.778
_cell_angle_alpha 90.00
_cell_angle_beta 111.58
_cell_angle_gamma 90.00
loop_
_atom_site_label
_atom_site_type_symbol
_atom_site_fract_x
_atom_site_fract_y
_atom_site_fract_z
_atom_site_occupancy
Hf1 Hf 0.000 0.001 0.250 1
Hf2 Hf 0.117 0.347 0.509 1
Hf3 Hf 0.223 0.223 0.153 1
Co1 Co 0.000 0.000 0.000 1
Pt1 Pt 0.000 0.460 0.750 1
# - raw total energy (eV/atom) = -9.147
# - M_tot (μB/cell) = 0.0
# - formation energy (eV/atom) = -0.16

# Hf7Co2Pt2 PBE relaxed
data_Hf7Co2Pt2
_symmetry_space_group_name_H-M 'C m m m'
_symmetry_Int_Tables_number 65
_symmetry_space_group_name_Hall '-C 2 2'
_cell_length_a 7.206
_cell_length_b 9.835
_cell_length_c 6.308
_cell_angle_alpha 90.00
_cell_angle_beta 90.00
_cell_angle_gamma 90.00
loop_
_atom_site_label
_atom_site_type_symbol
_atom_site_fract_x
_atom_site_fract_y
_atom_site_fract_z
_atom_site_occupancy
Hf1 Hf 0.000 0.000 0.000 1
Hf2 Hf 0.000 0.500 0.248 1
Hf3 Hf 0.250 0.250 0.255 1
Co1 Co 0.000 0.292 0.000 1
Pt1 Pt 0.194 0.000 0.500 1
# - raw total energy (eV/atom) = -9.011
# - M_tot (μB/cell) = 0.0
# - formation energy (eV/atom) = -0.29
# - energy above the most stable polymorph in this dataset (meV/atom) = 244